First-principles (PBE with a Hubbard U) data for an optimized crystal structure of Ac4Al3NiO12, as listed in Alexandria.

It has space group Im-3m (No. 229), with a = 7.812 Å, b = 7.812 Å, c = 7.812 Å, α = 90.00°, β = 90.00° and γ = 90.00°. Symmetry generates all atoms from Ac at (0.250, 0.250, 0.250), Al at (0.000, 0.000, 0.500), Ni at (0.000, 0.000, 0.000), O at (0.000, 0.000, 0.259) and O at (0.000, 0.250, 0.500).

The calculation puts the total magnetization at 0.9 μB/f.u. The value obtained for the total DFT energy (no corrections) is -0.548 Ry/atom.